Computed, not measured: a geometry-optimized NaPt structure at the PBE-GGA level of DFT.

```
NaPt
1.0
6.6557 -1.3849 0.0000
6.6557 1.3849 0.0000
-1.1774 0.0000 5.8018
Na Pt
3 3
Cartesian
0.0000 0.0000 0.0000 Na
4.1769 0.0000 1.0077 Na
7.9572 0.0000 4.7941 Na
-0.5887 0.0000 2.9009 Pt
3.7787 0.0000 3.7143 Pt
8.3554 0.0000 2.0875 Pt
```

Output
Energy of formation from the pure elements = -0.12 eV per atom
Total moment = 0.000 μB per cell
DOS(E_F) = 0.3854 states/eV per atom
Symmetry = C2/m